DFT (PBE) results for a geometry-optimized DyPbAuSe3 structure.

a = 7.256 Å, b = 7.256 Å, c = 10.609 Å
α = 90.00°, β = 90.00°, γ = 32.55°
Fractional positions:
1 Se 0.645 0.645 0.951
2 Se 0.910 0.910 0.750
3 Se 0.645 0.645 0.549
4 Se 0.090 0.090 0.250
5 Se 0.355 0.355 0.049
6 Se 0.355 0.355 0.451
7 Dy 0.000 0.000 0.000
8 Dy 0.000 0.000 0.500
9 Pb 0.766 0.766 0.250
10 Pb 0.235 0.235 0.750
11 Au 0.463 0.463 0.250
12 Au 0.537 0.537 0.750

Values from the calculation:
Electronic total energy = -55.21 eV/cell
SG = Cmcm (63)
Volume = 300.6 Å³/cell
Excess energy over the best structure of this formula in the dataset = 0.008 eV per atom

DFT (PBE) results for a geometry-optimized K2Ta6SnBr18 structure.

a = 10.816 Å, b = 10.816 Å, c = 10.816 Å
α = 54.71°, β = 54.71°, γ = 54.71°
Fractional positions:
1 Br 0.083 0.653 0.765
2 Br 0.582 0.428 0.165
3 Br 0.334 0.831 0.024
4 Br 0.653 0.765 0.083
5 Br 0.835 0.418 0.572
6 Br 0.428 0.165 0.582
7 Br 0.917 0.347 0.235
8 Br 0.666 0.169 0.976
9 Br 0.572 0.835 0.418
10 Br 0.347 0.235 0.917
11 Br 0.418 0.572 0.835
12 Br 0.169 0.976 0.666
13 Br 0.976 0.666 0.169
14 Br 0.024 0.334 0.831
15 Br 0.765 0.083 0.653
16 Br 0.165 0.582 0.428
17 Br 0.235 0.917 0.347
18 Br 0.831 0.024 0.334
19 Ta 0.697 0.573 0.360
20 Ta 0.303 0.427 0.640
21 Ta 0.640 0.303 0.427
22 Ta 0.427 0.640 0.303
23 Ta 0.573 0.360 0.697
24 Ta 0.360 0.697 0.573
25 K 0.279 0.279 0.279
26 K 0.721 0.721 0.721
27 Sn 0.000 0.000 0.000

Values from the calculation:
Electronic total energy = -134.20 eV/cell
SG = R-3 (148)
Volume = 784.4 Å³/cell

DFT (PBE) results for a geometry-optimized Rb4BiSbAu2 structure.

a = 6.963 Å, b = 6.839 Å, c = 6.839 Å
α = 108.10°, β = 90.00°, γ = 90.00°
Fractional positions:
1 Bi 0.000 0.239 0.239
2 Au 0.256 0.504 0.504
3 Au 0.744 0.504 0.504
4 Rb 0.500 0.342 0.999
5 Rb 0.000 0.993 0.656
6 Rb 0.500 0.999 0.342
7 Rb 0.000 0.656 0.993
8 Sb 0.500 0.763 0.763

Values from the calculation:
Electronic total energy = -22.24 eV/cell
SG = Amm2 (38)
Volume = 309.6 Å³/cell

DFT (PBE) results for a geometry-optimized TcGeAsO structure.

a = 2.961 Å, b = 6.092 Å, c = 6.901 Å
α = 90.00°, β = 90.00°, γ = 90.00°
Fractional positions:
1 Ge 0.500 0.571 0.576
2 Ge 0.500 0.429 0.076
3 As 0.000 0.146 0.860
4 As 0.000 0.854 0.360
5 O 0.500 0.265 0.302
6 O 0.500 0.735 0.802
7 Tc 0.000 0.240 0.516
8 Tc 0.000 0.760 0.016

Values from the calculation:
Electronic total energy = -51.31 eV/cell
SG = Pmc2_1 (26)
Volume = 124.5 Å³/cell
Excess energy over the best structure of this formula in the dataset = 0.187 eV per atom

DFT (PBE) results for a geometry-optimized RbPaO3 structure.

a = 3.598 Å, b = 3.598 Å, c = 6.876 Å
α = 90.00°, β = 90.00°, γ = 90.00°
Fractional positions:
1 O 0.500 0.000 0.739
2 O 0.000 0.500 0.739
3 O 0.500 0.500 0.061
4 Pa 0.000 0.000 0.907
5 Rb 0.500 0.500 0.455

Values from the calculation:
Electronic total energy = -35.59 eV/cell
SG = P4mm (99)
Volume = 89.0 Å³/cell

DFT (PBE) results for a geometry-optimized Rb2Ta2Pd3 structure.

a = 11.266 Å, b = 11.266 Å, c = 11.266 Å
α = 23.22°, β = 23.22°, γ = 23.22°
Fractional positions:
1 Pd 0.666 0.666 0.666
2 Pd 0.909 0.909 0.909
3 Pd 0.293 0.293 0.293
4 Rb 0.174 0.174 0.174
5 Rb 0.755 0.755 0.755
6 Ta 0.987 0.987 0.987
7 Ta 0.590 0.590 0.590

Values from the calculation:
Electronic total energy = -39.58 eV/cell
SG = R3m (160)
Volume = 195.1 Å³/cell